Material: MnZn2Pt5
Method: DFT, PBE
State: optimized geometry

The calculation puts the formation energy at -0.435 eV per atom. As for the uncorrected energy: -5.676 eV/atom. The calculation puts the density of states at the Fermi level at 5.8 states/eV per cell. The value obtained for the spin magnetization is 4.510 μB per cell.

abc: 4.0118 4.0118 7.9572
angles: 104.60 104.60 90.00
Closest atoms and distances in Å follow each position.
Positions (direct):
Mn1 0.0000 0.0000 0.0000  12 Pt 2.79-2.84
Zn1 0.7500 0.7500 0.5001  8 Pt 2.68, 4 Zn 2.84
Zn2 0.2500 0.2500 0.4999  8 Pt 2.68, 4 Zn 2.84
Pt1 0.5000 0.5000 0.0000  8 Pt 2.79, 4 Mn 2.84
Pt2 0.8695 0.3695 0.7390  4 Zn 2.68, 2 Mn 2.79, 6 Pt 2.79-2.84
Pt3 0.3695 0.8695 0.7390  4 Zn 2.68, 6 Pt 2.79-2.84, 2 Mn 2.79
Pt4 0.1305 0.6305 0.2610  4 Zn 2.68, 2 Mn 2.79, 6 Pt 2.79-2.84
Pt5 0.6305 0.1305 0.2610  4 Zn 2.68, 6 Pt 2.79-2.84, 2 Mn 2.79